# La4CeEr5 (PBE, relaxed)
# Space group ... No. 12
# Crystal system ... monoclinic
# Energy of formation from the pure elements ... 198 kJ/mol of formula units
data_La4CeEr5
_chemical_formula_sum 'La4 Ce1 Er5'
_space_group_name_H-M_alt 'P 1'
_space_group_IT_number 1
_cell_length_a 8.742
_cell_length_b 8.742
_cell_length_c 11.397
_cell_angle_alpha 90.68
_cell_angle_beta 90.68
_cell_angle_gamma 23.15
loop_
_space_group_symop_operation_xyz
'x,y,z'
loop_
_atom_site_label
_atom_site_type_symbol
_atom_site_fract_x
_atom_site_fract_y
_atom_site_fract_z
_atom_site_occupancy
La1 La 0.032 0.032 0.243 1
La2 La 0.335 0.335 0.251 1
La3 La 0.665 0.665 0.749 1
La4 La 0.968 0.968 0.757 1
Ce1 Ce 0.500 0.500 0.000 1
Er1 Er 0.171 0.171 0.043 1
Er2 Er 0.172 0.172 0.453 1
Er3 Er 0.500 0.500 0.500 1
Er4 Er 0.828 0.828 0.547 1
Er5 Er 0.829 0.829 0.957 1


# Li2Ca2Ir (PBE, relaxed)
# Space group ... No. 127
# Crystal system ... tetragonal
# ΔE to the lowest computed polymorph ... 16.6 kJ/mol of atoms
# Energy of formation from the pure elements ... 13 kJ/mol of formula units
data_Li2Ca2Ir
_chemical_formula_sum 'Li4 Ca4 Ir2'
_space_group_name_H-M_alt 'P 1'
_space_group_IT_number 1
_cell_length_a 6.813
_cell_length_b 6.813
_cell_length_c 4.627
_cell_angle_alpha 90.00
_cell_angle_beta 90.00
_cell_angle_gamma 90.00
loop_
_space_group_symop_operation_xyz
'x,y,z'
loop_
_atom_site_label
_atom_site_type_symbol
_atom_site_fract_x
_atom_site_fract_y
_atom_site_fract_z
_atom_site_occupancy
Li1 Li 0.136 0.364 0.000 1
Li2 Li 0.364 0.864 0.000 1
Li3 Li 0.636 0.136 0.000 1
Li4 Li 0.864 0.636 0.000 1
Ca1 Ca 0.197 0.697 0.500 1
Ca2 Ca 0.303 0.197 0.500 1
Ca3 Ca 0.697 0.803 0.500 1
Ca4 Ca 0.803 0.303 0.500 1
Ir1 Ir 0.000 0.000 0.000 1
Ir2 Ir 0.500 0.500 0.000 1


# CsNaHgPb (PBE, relaxed)
# Space group ... No. 216
# Crystal system ... cubic
# ΔE to the lowest computed polymorph ... 11.4 kJ/mol of atoms
# Energy of formation from the pure elements ... -24 kJ/mol of formula units
data_CsNaHgPb
_chemical_formula_sum 'Cs4 Na4 Hg4 Pb4'
_space_group_name_H-M_alt 'P 1'
_space_group_IT_number 1
_cell_length_a 8.251
_cell_length_b 8.251
_cell_length_c 8.251
_cell_angle_alpha 90.00
_cell_angle_beta 90.00
_cell_angle_gamma 90.00
loop_
_space_group_symop_operation_xyz
'x,y,z'
loop_
_atom_site_label
_atom_site_type_symbol
_atom_site_fract_x
_atom_site_fract_y
_atom_site_fract_z
_atom_site_occupancy
Cs1 Cs 0.000 0.000 0.000 1
Cs2 Cs 0.000 0.500 0.500 1
Cs3 Cs 0.500 0.000 0.500 1
Cs4 Cs 0.500 0.500 0.000 1
Na1 Na 0.250 0.250 0.750 1
Na2 Na 0.250 0.750 0.250 1
Na3 Na 0.750 0.250 0.250 1
Na4 Na 0.750 0.750 0.750 1
Hg1 Hg 0.250 0.250 0.250 1
Hg2 Hg 0.250 0.750 0.750 1
Hg3 Hg 0.750 0.250 0.750 1
Hg4 Hg 0.750 0.750 0.250 1
Pb1 Pb 0.000 0.000 0.500 1
Pb2 Pb 0.000 0.500 0.000 1
Pb3 Pb 0.500 0.000 0.000 1
Pb4 Pb 0.500 0.500 0.500 1


no.,E_tot (eV per atom)
1,-4.64
2,-3.31
3,-1.61